# PBE LaSm3Ho6Th2, optimized geometry
# * spin magnetization: 0.00 μB/atom
# * uncorrected energy: -5.092 eV per atom
# * E_form: 0.0239 eV/atom
data_LaSm3Ho6Th2
_chemical_formula_sum 'La2 Sm6 Ho12 Th4'
_symmetry_space_group_name_H-M 'C 1 2/m 1'
_symmetry_Int_Tables_number 12
_symmetry_space_group_name_Hall '-C 2y'
_cell_length_a 6.223
_cell_length_b 10.775
_cell_length_c 11.717
_cell_angle_alpha 90.00
_cell_angle_beta 100.21
_cell_angle_gamma 90.00
loop_
_atom_site_label
_atom_site_type_symbol
_atom_site_fract_x
_atom_site_fract_y
_atom_site_fract_z
La1 La 0.000 0.000 0.000
Sm1 Sm 0.000 0.166 0.500
Sm2 Sm 0.000 0.500 0.500
Ho1 Ho 0.244 0.500 0.247
Ho2 Ho 0.248 0.331 0.753
Th1 Th 0.000 0.333 0.000

# PBE TeAs2S2, optimized geometry
# * spin magnetization: 0.00 μB/atom
# * raw formation energy: 40 meV/atom
# * uncorrected energy: -4.099 eV per atom
# * offset from the most stable computed form: 22.3 meV per atom
data_TeAs2S2
_chemical_formula_sum 'Te3 As6 S6'
_symmetry_space_group_name_H-M 'R -3 m'
_symmetry_Int_Tables_number 166
_symmetry_space_group_name_Hall '-R 3 2"'
_cell_length_a 3.7884
_cell_length_b 3.7884
_cell_length_c 30.4592
_cell_angle_alpha 90.00
_cell_angle_beta 90.00
_cell_angle_gamma 120.00
loop_
_atom_site_label
_atom_site_type_symbol
_atom_site_fract_x
_atom_site_fract_y
_atom_site_fract_z
Te1 Te 0.0000 0.0000 0.0000
As1 As 0.0000 0.0000 0.3985
S1 S 0.0000 0.0000 0.2254

# PBE Ce2PmHg8, optimized geometry
# * spin magnetization: 0.21 μB/atom
# * uncorrected energy: -2.031 eV per atom
# * E_form: -0.3006 eV/atom
# * offset from the most stable computed form: 0.0 meV per atom
data_Ce2PmHg8
_chemical_formula_sum 'Ce4 Pm2 Hg16'
_symmetry_space_group_name_H-M 'C 1 2/m 1'
_symmetry_Int_Tables_number 12
_symmetry_space_group_name_Hall '-C 2y'
_cell_length_a 16.128
_cell_length_b 5.126
_cell_length_c 7.357
_cell_angle_alpha 90.00
_cell_angle_beta 110.39
_cell_angle_gamma 90.00
loop_
_atom_site_label
_atom_site_type_symbol
_atom_site_fract_x
_atom_site_fract_y
_atom_site_fract_z
Ce1 Ce 0.208 0.000 0.151
Pm1 Pm 0.000 0.500 0.500
Hg1 Hg 0.018 0.000 0.227
Hg2 Hg 0.094 0.500 0.953
Hg3 Hg 0.153 0.000 0.663
Hg4 Hg 0.170 0.500 0.396

# PBE CaZnGe3, optimized geometry
# * spin magnetization: 0.03 μB/atom
# * uncorrected energy: -2.371 eV per atom
# * E_form: 1.0543 eV/atom
data_CaZnGe3
_chemical_formula_sum 'Ca1 Zn1 Ge3'
_symmetry_space_group_name_H-M 'P m -3 m'
_symmetry_Int_Tables_number 221
_symmetry_space_group_name_Hall '-P 4 2 3'
_cell_length_a 5.454
_cell_length_b 5.454
_cell_length_c 5.454
_cell_angle_alpha 90.00
_cell_angle_beta 90.00
_cell_angle_gamma 90.00
loop_
_atom_site_label
_atom_site_type_symbol
_atom_site_fract_x
_atom_site_fract_y
_atom_site_fract_z
Ca1 Ca 0.000 0.000 0.000
Zn1 Zn 0.500 0.500 0.500
Ge1 Ge 0.000 0.000 0.500

# PBE Pm6Sm6Ho, optimized geometry
# * spin magnetization: 0.00 μB/atom
# * uncorrected energy: -4.439 eV per atom
# * E_form: 0.2841 eV/atom
data_Pm6Sm6Ho
_chemical_formula_sum 'Pm6 Sm6 Ho1'
_symmetry_space_group_name_H-M 'P 6/m m m'
_symmetry_Int_Tables_number 191
_symmetry_space_group_name_Hall '-P 6 2'
_cell_length_a 6.7519
_cell_length_b 6.7519
_cell_length_c 11.5061
_cell_angle_alpha 90.00
_cell_angle_beta 90.00
_cell_angle_gamma 120.00
loop_
_atom_site_label
_atom_site_type_symbol
_atom_site_fract_x
_atom_site_fract_y
_atom_site_fract_z
Pm1 Pm 0.0000 0.0000 0.1515
Pm2 Pm 0.3333 0.6667 0.0000
Pm3 Pm 0.3333 0.6667 0.5000
Sm1 Sm 0.0000 0.5000 0.2519
Ho1 Ho 0.0000 0.0000 0.5000

# PBE Rb2NaThI6, optimized geometry
# * spin magnetization: 0.10 μB/atom
# * raw formation energy: -1204 meV/atom
# * uncorrected energy: -3.202 eV per atom
data_Rb2NaThI6
_chemical_formula_sum 'Rb4 Na2 Th2 I12'
_symmetry_space_group_name_H-M 'P m m n'
_symmetry_Int_Tables_number 59
_cell_length_a 8.913
_cell_length_b 12.587
_cell_length_c 8.841
_cell_angle_alpha 90.00
_cell_angle_beta 90.00
_cell_angle_gamma 90.00
loop_
_symmetry_equiv_pos_as_xyz
'x,y,z'
'-x,-y,-z'
'-x+1/2,-y+1/2,z'
'x+1/2,y+1/2,-z'
'x+1/2,-y,-z'
'-x+1/2,y,z'
'-x,y+1/2,-z'
'x,-y+1/2,z'
loop_
_atom_site_label
_atom_site_type_symbol
_atom_site_fract_x
_atom_site_fract_y
_atom_site_fract_z
Rb1 Rb 0.250 0.044 0.216
Na1 Na 0.250 0.750 0.753
Th1 Th 0.250 0.250 0.743
I1 I 0.002 0.250 0.994
I2 I 0.013 0.250 0.483
I3 I 0.250 0.002 0.762

Q: What is the formula in the sixth record?
A: Rb2NaThI6